Run one
BeWCl2, relaxed, DFT PBEsol; crystal system = monoclinic; total magnetic moment = 0.003 μB/cell
1.0
2.8576 0.0013 0.0021
-0.9436 4.8735 0.0095
-0.9436 -2.1451 4.3760
W Cl Be
1 2 1
Cartesian
0.0000 0.0000 0.0000
-0.4718 -1.0726 2.1880
-0.4718 2.4367 0.0047
-0.9436 1.3642 2.1927

Run two
BeWCl2, relaxed, DFT PBEsol; crystal system = orthorhombic; total magnetic moment = 0.001 μB/cell
1.0
3.1193 0.0000 0.0000
0.0000 3.4782 0.0000
-1.5596 -1.7391 6.9563
Be Cl W
1 2 1
Cartesian
0.0000 1.7391 0.0000
0.0000 0.0000 1.9168
1.5596 1.7391 5.0395
1.5596 0.0000 0.0000

Stability summary - winner: run two; margin: 629 meV/atom.

Run one
LiVP3HO10, relaxed, DFT PBEsol; crystal system = monoclinic; total magnetic moment = 2.000 μB/cell
1.0
6.2295 -0.0718 0.0726
1.8191 6.1056 0.0766
-1.8191 0.1409 6.1045
O P H Li V
10 3 1 1 1
Cartesian
6.4945 3.9784 2.1477
1.9214 3.6849 4.3277
2.7676 3.5421 1.8973
-0.3847 4.1293 5.9532
6.6142 5.9245 4.1390
5.0855 1.1265 1.8731
1.1440 1.8130 1.1793
-0.2649 2.1177 4.0281
4.3081 4.2945 3.7117
3.4619 1.8627 3.5945
3.1148 3.4319 3.4677
1.2882 3.3671 1.2003
4.9413 1.1639 3.4269
0.0000 1.4540 1.4388
3.1148 1.2072 1.2664
0.0000 4.0794 4.0367

Run two
LiVP3HO10, relaxed, DFT PBEsol; crystal system = monoclinic; total magnetic moment = 4.000 μB/cell
1.0
-0.4263 -3.5028 3.6659
-4.3562 -5.1395 -5.4174
9.5396 -2.8126 -1.5781
O P V Li H
20 6 2 2 2
Cartesian
4.9651 -2.4181 -1.4386
-3.5139 -7.6721 -2.0165
3.6731 -7.1059 -2.1994
3.5994 -8.9520 -3.9719
1.1577 -2.5029 0.6422
1.0586 -7.1203 -0.9575
4.7064 -9.3128 -1.7083
8.2710 -3.7828 -1.3132
2.4903 -2.2501 -1.4409
-2.3735 -6.7922 0.0018
3.6985 -4.3346 -2.3721
0.0507 -2.1421 -1.6214
7.1306 -4.6627 -3.3315
1.0840 -4.3490 -1.1303
3.2968 -5.5799 0.0572
-0.2080 -9.0367 -1.8911
1.4603 -5.8750 -3.3869
2.2668 -9.2048 -1.8888
-3.4731 -5.2810 -3.3929
8.2302 -6.1739 0.0633
3.3096 -6.3179 1.3785
-3.2158 -4.0102 -4.1738
3.5706 -8.5685 -2.5209
1.1865 -2.8863 -0.8088
7.9729 -7.4446 0.8442
1.4475 -5.1370 -4.7082
-0.2131 -1.7514 1.8329
2.3786 -5.7274 -1.6648
5.9676 -4.1995 -1.6953
-1.2105 -7.2554 -1.6344
4.7698 -1.4063 -0.7891
-2.1781 -2.5698 -2.7087

Stability summary - winner: run two; margin: 25 meV/atom.

Run one
MgTlRe, relaxed, DFT PBEsol; crystal system = tetragonal; total magnetic moment = 0.000 μB/cell
1.0
-1.9575 2.3089 1.4467
-1.6294 -2.4198 1.6570
4.9094 0.4323 2.0627
Tl Mg Re
1 1 1
Cartesian
2.0290 0.2454 2.3537
0.0737 0.0089 0.0854
-0.7802 0.0671 2.7273

Run two
MgTlRe, relaxed, DFT PBEsol; crystal system = hexagonal; total magnetic moment = 0.000 μB/cell
1.0
-0.6519 -1.8207 2.0290
-2.7005 -2.4668 -3.0812
4.6299 -1.0801 0.5184
Tl Mg Re
1 1 1
Cartesian
-0.5825 -2.9136 -0.8683
-0.0003 -0.0009 0.0010
1.8603 -2.4531 0.3335

Stability summary - winner: run two; margin: 64 meV/atom.

Run one
SrLa2Os, relaxed, DFT PBEsol; crystal system = orthorhombic; total magnetic moment = 0.001 μB/cell
1.0
-2.7662 -1.7261 2.1217
2.7814 -5.3073 -0.6915
2.8163 4.4211 3.7024
La Sr Os
2 1 1
Cartesian
1.0212 0.3270 1.5974
1.8103 -2.9394 3.5351
1.3907 -2.6537 -0.3458
-1.3831 -0.8631 1.0608

Run two
SrLa2Os, relaxed, DFT PBEsol; crystal system = tetragonal; total magnetic moment = 0.000 μB/cell
1.0
3.5346 0.0000 0.0000
0.0000 3.5346 0.0000
0.0000 0.0000 10.4062
La Sr Os
2 1 1
Cartesian
0.0000 0.0000 8.7153
0.0000 0.0000 1.6909
1.7673 1.7673 5.2031
1.7673 1.7673 0.0000

Stability summary - winner: run two; margin: 27 meV/atom.

Run one
YCrRu, relaxed, DFT PBEsol; crystal system = cubic; total magnetic moment = 3.938 μB/cell
1.0
-3.7122 2.3864 -0.4581
-2.3413 1.1700 3.5825
-0.0873 4.2394 1.3058
Y Ru Cr
1 1 1
Cartesian
-1.5352 1.9490 1.1076
-3.0704 3.8979 2.2151
0.0000 0.0000 0.0000

Run two
YCrRu, relaxed, DFT PBEsol; crystal system = cubic; total magnetic moment = 2.833 μB/cell
1.0
4.3905 0.0000 0.0000
2.1952 3.8023 0.0000
2.1952 1.2674 3.5848
Y Cr Ru
1 1 1
Cartesian
0.0000 0.0000 0.0000
4.3905 2.5349 1.7924
2.1952 1.2674 0.8962

Stability summary - winner: run two; margin: 732 meV/atom.

Run one
Ag2AsP, relaxed, DFT PBEsol; crystal system = monoclinic; total magnetic moment = 0.000 μB/cell
1.0
2.9487 0.0000 0.0864
0.0000 4.0505 0.0000
-0.1218 0.0000 5.6669
Ag As P
2 1 1
Cartesian
2.9129 0.0000 1.5331
-0.0860 0.0000 4.2202
1.4743 2.0252 0.0432
1.4135 2.0252 2.8767

Run two
Ag2AsP, relaxed, DFT PBEsol; crystal system = monoclinic; total magnetic moment = 0.000 μB/cell
1.0
-0.5529 1.2626 2.9702
-1.1715 -4.2211 -0.2286
5.1796 -0.2753 1.0811
Ag As P
2 1 1
Cartesian
0.6508 -1.8991 0.9284
2.8043 -1.3347 2.8943
-0.2764 0.6313 1.4851
2.5898 -0.1376 0.5406

Stability summary - winner: run two; margin: 19 meV/atom.

Run one
FeMo2Ir, relaxed, DFT PBEsol; crystal system = monoclinic; total magnetic moment = 1.194 μB/cell
1.0
2.6953 0.0000 0.0000
-1.3477 4.4234 0.0214
0.0000 -0.7932 4.6484
Mo Ir Fe
2 1 1
Cartesian
0.0000 1.5665 3.3696
0.0000 0.0361 0.0894
1.3477 2.0651 1.1541
0.0000 3.9893 2.4023

Run two
FeMo2Ir, relaxed, DFT PBEsol; crystal system = orthorhombic; total magnetic moment = 0.507 μB/cell
1.0
-1.3494 2.0204 1.1838
-3.2301 -1.3685 -1.3462
-0.5823 -2.9863 4.4329
Ir Mo Fe
1 2 1
Cartesian
-2.5809 -1.1672 2.1353
-0.4437 -2.2755 3.3779
-0.1386 -0.7107 1.0550
-2.2897 0.3260 -0.0812

Stability summary - winner: run two; margin: 84 meV/atom.

Run one
SrYSi2, relaxed, DFT PBEsol; crystal system = monoclinic; total magnetic moment = 0.333 μB/cell
1.0
-3.8083 -0.5294 -0.8032
-1.8161 -4.5547 2.0091
-3.2622 1.3121 4.9984
Si Y Sr
2 1 1
Cartesian
-4.3390 -0.3767 1.6128
-4.5476 -3.3954 4.5916
-2.5392 -1.6213 3.5038
-1.9041 -0.2647 -0.4016

Run two
SrYSi2, relaxed, DFT PBEsol; crystal system = orthorhombic; total magnetic moment = 0.000 μB/cell
1.0
3.7629 0.0000 0.0000
0.0000 4.4828 0.0000
-1.8814 -2.2414 5.6640
Y Si Sr
1 2 1
Cartesian
0.0000 2.2414 2.7495
1.8814 0.0000 2.3847
0.0000 0.0000 0.7918
0.0000 0.0000 5.4020

Stability summary - winner: run two; margin: 97 meV/atom.